This record from Alexandria describes a relaxed NdPuTh2 crystal. The functional is PBE-GGA.

POSCAR file:
```
NdPuTh2
1.0
3.562 0.000 0.000
0.000 3.562 0.000
0.000 0.000 9.761
Nd Pu Th
1 1 2
direct
0.000 0.000 0.000
0.000 0.000 0.500
0.500 0.500 0.270
0.500 0.500 0.730
```

The space-group type is P4/mmm. As for the size of the total moment: 5.24 μB per cell. For the distance to the lowest polymorph of the same formula, the calculation gives 0.0 kJ/mol of formula units. For the formation energy, the calculation gives 0.12 eV/atom.


This record from Alexandria describes a relaxed ErNi2B2 crystal. The functional is PBE-GGA.

POSCAR file:
```
ErNi2B2
1.0
4.764 -1.616 0.000
4.764 1.616 0.000
-0.920 0.000 3.812
Er Ni B
1 2 2
direct
0.000 0.000 0.000
0.335 0.335 0.409
0.665 0.665 0.591
0.267 0.267 0.879
0.733 0.733 0.121
```

The space-group type is C2/m. As for the size of the total moment: 0.00 μB per cell. For the formation energy, the calculation gives -0.46 eV/atom.


This record from Alexandria describes a relaxed Na3Np2BiTe6 crystal. The functional is PBE-GGA.

POSCAR file:
```
Na3Np2BiTe6
1.0
3.913 -6.776 0.000
3.913 6.776 0.000
-2.601 0.000 7.520
Na Np Bi Te
3 2 1 6
direct
0.000 0.000 0.000
0.338 0.662 0.000
0.662 0.338 0.000
0.167 0.833 0.500
0.833 0.167 0.500
0.500 0.500 0.500
0.084 0.421 0.264
0.241 0.241 0.734
0.421 0.084 0.264
0.579 0.916 0.736
0.759 0.759 0.266
0.916 0.579 0.736
```

The space-group type is C2/m. As for the size of the total moment: 8.00 μB per cell. The formation energy from raw total energies comes out at -0.712 eV per atom.


This record from Alexandria describes a relaxed Ba2Sr3Ca2 crystal. The functional is PBE-GGA.

POSCAR file:
```
Ba2Sr3Ca2
1.0
5.792 -3.339 0.000
5.792 3.339 0.000
-3.845 0.000 9.556
Ba Sr Ca
2 3 2
direct
0.075 0.075 0.225
0.925 0.925 0.775
0.355 0.355 0.065
0.500 0.500 0.500
0.645 0.645 0.935
0.214 0.214 0.643
0.786 0.786 0.357
```

The space-group type is C2/m. As for the size of the total moment: 0.00 μB per cell. For the distance to the lowest polymorph of the same formula, the calculation gives 2.3 kJ/mol of formula units. For the formation energy, the calculation gives 0.02 eV/atom.


This record from Alexandria describes a relaxed InRuPb crystal. The functional is PBE-GGA.

POSCAR file:
```
InRuPb
1.0
4.432 0.000 0.000
0.000 1.619 4.979
0.000 -1.619 4.979
In Ru Pb
1 1 1
direct
0.000 0.000 0.000
0.500 0.526 0.526
0.500 0.252 0.252
```

The space-group type is Amm2. As for the size of the total moment: 0.00 μB per cell. For the distance to the lowest polymorph of the same formula, the calculation gives 4.0 kJ/mol of formula units. For the formation energy, the calculation gives 0.14 eV/atom.